Entry 1:
15
Lattice="-5.924 -4.620 -7.600 -3.589 -8.087 0.201 -8.800 0.354 -0.869" Properties=species:S:1:pos:R:3 comment="La4Sm10Ho | the Alexandria database | GGA-PBE | relaxed" formation_enthalpy_0k_ev_per_atom=0.321 pbc="T T T"
La -9.944 -7.207 -2.893
La -8.369 -5.146 -5.374
La -4.926 -5.114 -0.565
La -13.388 -7.239 -7.703
Sm -12.461 -9.621 -4.547
Sm -7.676 -5.022 -2.234
Sm -5.928 -7.551 -3.385
Sm -3.936 -1.238 -1.262
Sm -5.852 -2.732 -3.720
Sm -14.377 -11.115 -7.005
Sm -12.385 -4.803 -4.882
Sm -10.470 -3.308 -2.424
Sm -7.844 -9.045 -5.843
Sm -10.638 -7.332 -6.034
Ho 0.000 0.000 0.000


Entry 2:
5
Lattice="-4.716 -0.559 -0.666 -0.443 -2.579 5.302 -0.792 4.279 2.015" Properties=species:S:1:pos:R:3 comment="ScGaP2F | the Alexandria database | GGA-PBE | relaxed" e_form_raw_ev_per_atom=0.1274 pbc="T T T"
P -0.396 2.139 1.008
P -2.358 -0.279 -0.333
F -2.976 0.570 3.326
Sc 0.000 0.000 0.000
Ga -0.222 -1.290 2.651


Entry 3:
4
Lattice="9.212 -0.110 -0.065 8.490 3.578 -0.065 8.490 1.663 3.169" Properties=species:S:1:pos:R:3 comment="YCuPb2 | the Alexandria database | GGA-PBE | relaxed" e_above_lowest_polymorph_ev_per_fu=0.75 formation_enthalpy_0k_ev_per_atom=0.016 pbc="T T T"
Y 12.686 2.485 1.472
Pb 6.535 1.280 0.758
Pb 0.424 0.083 0.049
Cu 19.643 3.848 2.279


Entry 4:
12
Lattice="4.009 0.000 0.000 0.000 4.009 0.000 0.000 0.000 11.830" Properties=species:S:1:pos:R:3 comment="Pa2MnRh9 | the Alexandria database | GGA-PBE | relaxed" formation_enthalpy_0k_ev_per_atom=-0.610 pbc="T T T"
Rh 2.004 0.000 1.830
Rh 2.004 0.000 5.915
Rh 2.004 2.004 3.871
Rh 2.004 2.004 7.959
Rh 0.000 2.004 10.000
Rh 2.004 2.004 0.000
Rh 2.004 0.000 10.000
Rh 0.000 2.004 5.915
Rh 0.000 2.004 1.830
Mn 0.000 0.000 0.000
Pa 0.000 0.000 3.853
Pa 0.000 0.000 7.976


Entry 5:
10
Lattice="7.871 0.000 0.000 0.000 7.871 0.000 0.000 0.000 3.761" Properties=species:S:1:pos:R:3 comment="Al2GeSb2 | the Alexandria database | GGA-PBE | relaxed" e_form_raw_ev_per_atom=0.2475 e_above_lowest_polymorph_ev_per_fu=0.17 pbc="T T T"
Al 6.839 2.903 1.881
Al 4.968 6.839 1.881
Al 2.903 1.032 1.881
Al 1.032 4.968 1.881
Ge 0.000 0.000 0.000
Ge 3.935 3.935 0.000
Sb 1.313 2.622 0.000
Sb 2.622 6.557 0.000
Sb 5.249 1.313 0.000
Sb 6.557 5.249 0.000


Entry 6:
10
Lattice="7.729 0.000 0.000 0.000 7.729 0.000 0.000 0.000 4.120" Properties=species:S:1:pos:R:3 comment="Ca2P2Se | the Alexandria database | GGA-PBE | relaxed" e_form_raw_ev_per_atom=-0.9611 e_above_lowest_polymorph_ev_per_fu=0.00 pbc="T T T"
Ca 2.421 6.286 0.000
Ca 5.308 1.443 0.000
Ca 1.443 2.421 0.000
Ca 6.286 5.308 0.000
Se 3.864 3.864 0.000
Se 0.000 0.000 0.000
P 3.119 0.745 2.060
P 0.745 4.610 2.060
P 4.610 6.984 2.060
P 6.984 3.119 2.060


Entry 7:
5
Lattice="-0.040 4.739 2.121 -4.134 -1.313 2.854 3.141 -1.667 3.783" Properties=species:S:1:pos:R:3 comment="Sc3TcSb | the Alexandria database | GGA-PBE | relaxed" e_form_raw_ev_per_atom=0.8943 e_above_lowest_polymorph_ev_per_fu=4.88 pbc="T T T"
Tc -0.516 0.880 4.379
Sc 1.571 -0.833 1.892
Sc -0.020 2.369 1.061
Sc -2.067 -0.656 1.427
Sb 0.000 0.000 0.000


Entry 8:
6
Lattice="3.847 0.002 -0.004 -0.004 5.853 0.025 -1.917 -0.868 8.980" Properties=species:S:1:pos:R:3 comment="CaLaTl | the Alexandria database | GGA-PBE | relaxed" e_above_lowest_polymorph_ev_per_fu=0.43 formation_enthalpy_0k_ev_per_atom=-0.255 pbc="T T T"
La 1.846 0.264 1.678
La -0.078 3.246 7.929
Tl 1.849 0.356 7.948
Tl -0.080 3.154 1.659
Ca 1.845 3.197 4.290
Ca -0.076 0.312 5.317


Entry 9:
4
Lattice="3.765 0.000 0.000 0.000 3.765 0.000 0.000 0.000 5.935" Properties=species:S:1:pos:R:3 comment="K2FeW | the Alexandria database | GGA-PBE | relaxed" e_above_lowest_polymorph_ev_per_fu=3.09 formation_enthalpy_0k_ev_per_atom=1.673 pbc="T T T"
K 1.882 1.882 0.000
K 0.000 0.000 0.000
W 1.882 0.000 2.967
Fe 0.000 1.882 2.967


Entry 10:
8
Lattice="-3.646 -1.494 -0.001 2.945 -1.990 -1.701 1.648 -4.030 7.571" Properties=species:S:1:pos:R:3 comment="AlSi2Ni | the Alexandria database | GGA-PBE | relaxed" e_form_raw_ev_per_atom=0.0904 pbc="T T T"
Si 0.045 -5.312 6.294
Si -0.471 -4.051 3.926
Si 1.418 -3.462 1.943
Si 0.902 -2.202 -0.426
Ni 1.236 -3.022 5.678
Ni 0.412 -1.007 1.893
Al 1.984 -4.847 4.544
Al -1.037 -2.667 1.325


Entry 11:
5
Lattice="-3.671 -1.182 -2.893 2.901 -2.949 -2.477 -1.162 -3.626 2.957" Properties=species:S:1:pos:R:3 comment="Mg3IrPt | the Alexandria database | GGA-PBE | relaxed" e_above_lowest_polymorph_ev_per_fu=0.00 formation_enthalpy_0k_ev_per_atom=0.264 pbc="T T T"
Pt -0.966 -3.879 -1.206
Mg -1.836 -0.591 -1.446
Mg 1.450 -1.474 -1.238
Mg -0.581 -1.813 1.478
Ir 0.000 0.000 0.000


Entry 12:
4
Lattice="0.000 3.027 3.027 3.027 0.000 3.027 3.027 3.027 0.000" Properties=species:S:1:pos:R:3 comment="ReSi2Pt | the Alexandria database | GGA-PBE | relaxed" e_form_raw_ev_per_atom=-0.1159 e_above_lowest_polymorph_ev_per_fu=0.94 pbc="T T T"
Si 1.513 1.513 1.513
Si 4.540 4.540 4.540
Re 0.000 0.000 0.000
Pt 3.027 3.027 3.027


Entry 13:
13
Lattice="5.033 0.000 2.011 2.450 6.568 1.172 0.077 0.022 7.107" Properties=species:S:1:pos:R:3 comment="PmAl6Ag6 | the Alexandria database | GGA-PBE | relaxed" formation_enthalpy_0k_ev_per_atom=-0.195 pbc="T T T"
Ag 3.397 4.302 6.103
Ag 0.888 2.257 5.081
Ag 2.021 1.304 2.246
Ag 1.640 4.333 3.199
Ag 4.163 2.288 4.187
Ag 5.539 5.286 8.045
Al 1.225 3.284 0.586
Al 3.741 3.284 1.592
Al 3.137 1.522 6.753
Al 0.039 0.011 3.554
Al 2.555 0.011 4.559
Al 4.422 5.068 3.538
Pm 0.000 0.000 0.000


Entry 14:
5
Lattice="-1.359 -2.034 -3.655 1.955 -3.706 1.336 -3.872 -1.269 2.146" Properties=species:S:1:pos:R:3 comment="LaCuN2F | the Alexandria database | GGA-PBE | relaxed" e_form_raw_ev_per_atom=0.3035 pbc="T T T"
La 0.000 0.000 0.000
Cu -1.638 -3.505 -0.086
F -1.936 -0.634 1.073
N 0.978 -1.853 0.668
N -0.680 -1.017 -1.827


Entry 15:
18
Lattice="3.825 0.000 0.000 -1.912 8.327 0.000 0.000 0.000 11.755" Properties=species:S:1:pos:R:3 comment="Ce2NiSnS5 | the Alexandria database | GGA-PBE | relaxed" e_form_raw_ev_per_atom=-1.2772 pbc="T T T"
S 0.000 0.048 5.823
S 1.912 3.595 2.545
S 1.912 0.317 2.702
S 1.912 2.763 6.171
S 1.912 8.279 11.701
S 0.000 4.732 8.423
S 0.000 5.564 0.294
S 0.000 5.615 4.296
S 0.000 8.010 8.580
S 1.912 2.712 10.173
Sn 0.000 2.876 0.531
Sn 1.912 5.451 6.409
Ce 1.912 6.255 9.944
Ce 0.000 2.071 4.066
Ce 1.912 6.512 2.319
Ce 0.000 1.815 8.196
Ni 1.912 0.478 10.619
Ni 0.000 7.848 4.742


Entry 16:
5
Lattice="-1.478 -4.399 1.911 3.469 0.400 3.604 -3.684 2.651 3.252" Properties=species:S:1:pos:R:3 comment="BaCa2PbN | the Alexandria database | GGA-PBE | relaxed" e_form_raw_ev_per_atom=-0.5944 pbc="T T T"
Ca 1.735 0.200 1.802
Ca -0.739 -2.199 0.956
Ba -1.842 1.326 1.626
Pb -0.846 -0.673 4.384
N 0.000 0.000 0.000


Entry 17:
4
Lattice="-2.705 -2.579 1.577 3.206 -1.656 2.795 -1.876 6.594 2.338" Properties=species:S:1:pos:R:3 comment="BiCl2F | the Alexandria database | GGA-PBE | relaxed" e_form_raw_ev_per_atom=-1.4619 e_above_lowest_polymorph_ev_per_fu=0.00 pbc="T T T"
F -1.598 4.461 4.548
Cl -0.433 1.254 1.306
Cl -0.884 1.076 5.454
Bi -1.324 -1.304 0.814


Entry 18:
5
Lattice="-1.790 1.889 -4.350 -4.540 -2.026 0.988 -1.371 4.245 2.407" Properties=species:S:1:pos:R:3 comment="VOsBr3 | the Alexandria database | GGA-PBE | relaxed" e_form_raw_ev_per_atom=0.9244 pbc="T T T"
V -3.850 2.054 -0.477
Br -0.685 2.122 1.204
Br -0.895 0.944 -2.175
Br -2.270 -1.013 0.494
Os 0.000 0.000 0.000


Entry 19:
4
Lattice="4.379 -0.016 -0.008 -2.177 3.799 0.008 -2.181 -1.264 7.262" Properties=species:S:1:pos:R:3 comment="CePmNdTc | the Alexandria database | GGA-PBE | relaxed" formation_enthalpy_0k_ev_per_atom=0.130 pbc="T T T"
Tc 0.602 2.182 0.994
Ce 2.787 0.911 0.865
Pm 0.610 2.177 5.861
Nd 0.598 -0.348 3.142


Entry 20:
5
Lattice="-0.074 -3.961 2.123 4.492 -0.138 -0.101 0.193 2.665 4.978" Properties=species:S:1:pos:R:3 comment="KAgIO2 | the Alexandria database | GGA-PBE | relaxed" e_form_raw_ev_per_atom=-0.0347 e_above_lowest_polymorph_ev_per_fu=0.00 pbc="T T T"
Ag 0.000 0.000 0.000
K 2.305 -0.717 3.500
O -0.037 -1.981 1.062
O 2.246 -0.069 -0.050
I 0.097 1.332 2.489